## MgSnSeBr2 (meta-GGA SCAN)

Data for a PBEsol-optimized structure of MgSnSeBr2.

Computed properties:
- ΔE_f (raw): -3.541 eV/f.u.
- Space group: No. 123
- Magnetic moment: 0.0 μB per cell

Unit cell a=4.975 b=4.975 c=5.317 alpha=90.00 beta=90.00 gamma=90.00
Fractional coordinates of all 5 atoms:
Mg 0.000 0.000 0.000
Sn 0.500 0.500 0.500
Se 0.000 0.000 0.500
Br 0.000 0.500 0.000
Br 0.500 0.000 0.000

## GaSnN2 (meta-GGA SCAN)

Data for a PBEsol-optimized structure of GaSnN2.

Computed properties:
- N(E_F): 1.6 states/eV/f.u.
- ΔE_f (raw): 5.121 eV/f.u.
- Space group: No. 225
- Offset from the most stable computed form: 0.854 eV/atom
- Magnetic moment: 0.0 μB per cell

Unit cell a=4.029 b=4.029 c=4.029 alpha=60.00 beta=60.00 gamma=60.00
Fractional coordinates of all 4 atoms:
Ga 0.000 0.000 0.000
Sn 0.500 0.500 0.500
N 0.250 0.250 0.250
N 0.750 0.750 0.750

## KLi2Ag (meta-GGA SCAN)

Data for a PBEsol-optimized structure of KLi2Ag.

Computed properties:
- N(E_F): 1.3 states/eV/f.u.
- Space group: No. 47
- Calculated formation energy: 0.69 eV per formula unit
- Magnetic moment: 0.0 μB per cell

Unit cell a=4.606 b=4.636 c=4.783 alpha=90.00 beta=90.00 gamma=90.00
Fractional coordinates of all 4 atoms:
K 0.000 0.000 0.000
Li 0.000 0.500 0.500
Li 0.500 0.000 0.500
Ag 0.500 0.500 0.000

## BOs3F (meta-GGA SCAN)

Data for a PBEsol-optimized structure of BOs3F.

Computed properties:
- N(E_F): 5.3 states/eV/f.u.
- ΔE_f (raw): 13.428 eV/f.u.
- Space group: No. 221
- Magnetic moment: 1.8 μB per cell

Unit cell a=4.089 b=4.089 c=4.089 alpha=90.00 beta=90.00 gamma=90.00
Fractional coordinates of all 5 atoms:
B 0.000 0.000 0.000
Os 0.000 0.500 0.500
Os 0.500 0.000 0.500
Os 0.500 0.500 0.000
F 0.500 0.500 0.500

## Li3Fe2Si2O8 (meta-GGA SCAN)

Data for a PBEsol-optimized structure of Li3Fe2Si2O8.

Computed properties:
- N(E_F): 7.1 states/eV/f.u.
- ΔE_f (raw): -35.755 eV/f.u.
- Space group: No. 1
- Offset from the most stable computed form: 0.005 eV/atom
- Magnetic moment: 9.0 μB per cell

Unit cell a=4.946 b=5.405 c=6.126 alpha=89.11 beta=89.78 gamma=89.18
Fractional coordinates of all 15 atoms:
Li 0.000 0.000 0.000
Li 0.004 0.994 0.501
Li 0.491 0.666 0.998
Fe 0.501 0.164 0.256
Fe 0.991 0.504 0.740
Si 0.498 0.172 0.754
Si 0.985 0.498 0.244
O 0.071 0.647 0.463
O 0.094 0.646 0.022
O 0.109 0.209 0.248
O 0.163 0.174 0.750
O 0.595 0.012 0.975
O 0.610 0.454 0.769
O 0.614 0.041 0.533
O 0.656 0.480 0.229

## MnReP2 (meta-GGA SCAN)

Data for a PBEsol-optimized structure of MnReP2.

Computed properties:
- N(E_F): 2.3 states/eV/f.u.
- Space group: No. 35
- Offset from the most stable computed form: 0.084 eV/atom
- Calculated formation energy: 0.88 eV per formula unit
- Magnetic moment: 2.6 μB per cell

Unit cell a=2.654 b=2.654 c=8.509 alpha=90.00 beta=90.00 gamma=109.25
Fractional coordinates of all 4 atoms:
Mn 0.000 0.000 0.000
Re 0.500 0.500 0.246
P 0.000 0.000 0.471
P 0.500 0.500 0.804

## TaHgAs2 (meta-GGA SCAN)

Data for a PBEsol-optimized structure of TaHgAs2.

Computed properties:
- N(E_F): 2.7 states/eV/f.u.
- Space group: No. 123
- Calculated formation energy: 1.54 eV per formula unit
- Magnetic moment: 0.0 μB per cell

Unit cell a=4.555 b=4.555 c=3.429 alpha=90.00 beta=90.00 gamma=90.00
Fractional coordinates of all 4 atoms:
Ta 0.000 0.000 0.000
Hg 0.500 0.500 0.000
As 0.000 0.500 0.500
As 0.500 0.000 0.500

## OsBrNO2 (meta-GGA SCAN)

Data for a PBEsol-optimized structure of OsBrNO2.

Computed properties:
- N(E_F): 2.5 states/eV/f.u.
- ΔE_f (raw): 1.343 eV/f.u.
- Space group: No. 123
- Magnetic moment: 0.0 μB per cell

Unit cell a=3.836 b=3.836 c=3.959 alpha=90.00 beta=90.00 gamma=90.00
Fractional coordinates of all 5 atoms:
Os 0.000 0.000 0.000
Br 0.500 0.500 0.500
N 0.000 0.000 0.500
O 0.000 0.500 0.000
O 0.500 0.000 0.000